# 1
DFT (PBE) results for an optimized crystal structure of RbMgH3.

Cell and atoms, written as POSCAR:
```
RbMgH3
1.0
-0.695 2.010 5.489
-4.702 -0.879 -3.431
-0.987 -13.423 4.790
H Mg Rb
18 6 6
direct
0.166 0.332 0.580
0.668 0.834 0.580
0.166 0.834 0.580
0.834 0.668 0.080
0.332 0.166 0.080
0.834 0.166 0.080
0.332 0.166 0.420
0.834 0.668 0.420
0.834 0.166 0.420
0.668 0.834 0.920
0.166 0.332 0.920
0.166 0.834 0.920
0.523 0.046 0.250
0.954 0.477 0.250
0.523 0.477 0.250
0.477 0.954 0.750
0.046 0.523 0.750
0.477 0.523 0.750
0.000 0.000 0.000
0.000 0.000 0.500
0.333 0.667 0.654
0.667 0.333 0.154
0.667 0.333 0.346
0.333 0.667 0.846
0.333 0.667 0.095
0.667 0.333 0.595
0.667 0.333 0.905
0.333 0.667 0.405
0.000 0.000 0.250
0.000 0.000 0.750
```

Values from the calculation:
total energy: -83.31 eV per cell

# 2
DFT (PBE) results for an optimized crystal structure of RbMgH3.

Cell and atoms, written as POSCAR:
```
RbMgH3
1.0
3.122 0.000 0.000
0.000 7.359 0.190
-1.561 -0.038 7.814
Rb Mg H
2 2 6
direct
0.862 0.141 0.724
0.138 0.859 0.276
0.606 0.321 0.211
0.394 0.679 0.789
0.036 0.215 0.073
0.964 0.785 0.927
0.311 0.856 0.623
0.689 0.144 0.377
0.130 0.484 0.260
0.870 0.516 0.740
```

Values from the calculation:
total energy: -26.04 eV per cell

# 3
DFT (PBE) results for an optimized crystal structure of RbMgH2.

Cell and atoms, written as POSCAR:
```
RbMgH2
1.0
-2.822 1.297 1.538
-1.933 -3.620 -0.495
5.120 -3.944 8.853
Rb Mg H
2 2 4
direct
0.162 0.500 0.268
0.323 0.000 0.594
0.540 0.000 0.018
0.971 0.500 0.879
0.768 0.500 0.484
0.623 0.000 0.190
0.422 0.500 0.781
0.534 0.500 0.007
```

Values from the calculation:
energy above the lowest structure with this stoichiometry: 0 meV per atom